A geometry-optimized Ac2Al3Zn4In structure, computed with PBE-GGA.

Lattice parameters (Å, degrees): 4.483 4.483 11.015 90.00 90.00 90.00
Element x y z (fractional)
Ac: 0.000 0.500 0.239
Ac: 0.500 0.000 0.761
Al: 0.000 0.500 0.876
Al: 0.500 0.000 0.124
Al: 0.500 0.500 0.500
Zn: 0.000 0.000 0.000
Zn: 0.000 0.500 0.644
Zn: 0.500 0.000 0.356
Zn: 0.500 0.500 0.000
In: 0.000 0.000 0.500

Output
The volume comes out at 221.4 Å³/f.u. For the calculated formation energy, the calculation gives -0.38 eV/atom. The calculation puts the total energy at -31.065 eV per cell. For the mass density, the calculation gives 6.8 g/cm³.